Ce3Nd2PuSe6 | PBE-GGA | relaxed

Results
Space-group type: C2/m
E in eV/atom: -7.001

Lattice parameters (Å, degrees): 4.194 8.442 9.413 103.28 102.87 90.00
Positions (direct):
Ce 0.500 0.500 0.000
Ce 0.832 0.166 0.664
Ce 0.168 0.834 0.336
Nd 0.833 0.667 0.667
Nd 0.167 0.333 0.333
Pu 0.500 0.000 0.000
Se 0.335 0.919 0.671
Se 0.666 0.584 0.332
Se 0.665 0.081 0.329
Se 0.999 0.245 0.998
Se 0.001 0.755 0.002
Se 0.334 0.416 0.668